Record 1
Density functional theory data (PBE-GGA) for a geometry-optimized LiNd3Tm3S8 structure.

abc: 7.8189 7.8187 7.9053
angles: 119.64 90.00 120.00
Positions (direct):
1 Li 0.0000 0.0000 0.5000
2 S 0.2444 0.9878 0.7322
3 S 0.2443 0.4886 0.7322
4 S 0.7556 0.0122 0.2678
5 S 0.2559 0.5117 0.2676
6 S 0.7435 0.9878 0.7322
7 S 0.7557 0.5114 0.2678
8 S 0.2565 0.0122 0.2678
9 S 0.7441 0.4883 0.7324
10 Nd 0.0000 0.5000 0.0000
11 Nd 0.5000 0.5000 0.0000
12 Nd 0.0000 0.0000 0.0000
13 Tm 0.5000 0.5000 0.5000
14 Tm 0.0000 0.5000 0.5000
15 Tm 0.5000 0.0000 0.5000

Computed properties:
space group = R-3m (166)
crystal system = trigonal
D(E_F) = 4.5 states/eV/cell

***

Record 2
Density functional theory data (PBE-GGA) for a geometry-optimized LiNdTm2S4 structure.

abc: 3.8829 6.7618 6.7929
angles: 109.16 90.00 90.00
Positions (direct):
1 Nd 0.0000 0.0000 0.0000
2 Li 0.5000 0.5000 0.0000
3 S 0.0000 0.2545 0.7419
4 S 0.0000 0.7455 0.2581
5 S 0.5000 0.7362 0.7384
6 S 0.5000 0.2638 0.2616
7 Tm 0.0000 0.5000 0.5000
8 Tm 0.5000 0.0000 0.5000

Computed properties:
space group = P2/m (10)
crystal system = monoclinic
D(E_F) = 2.5 states/eV/cell

***

Record 3
Density functional theory data (PBE-GGA) for a geometry-optimized LiNd3Tm2S6 structure.

abc: 6.7931 6.7931 6.9262
angles: 99.42 99.42 120.14
Positions (direct):
1 Tm 0.6656 0.3344 0.0000
2 Tm 0.3344 0.6656 0.0000
3 S 0.0760 0.4067 0.2292
4 S 0.7466 0.7466 0.2255
5 S 0.2534 0.2534 0.7745
6 S 0.9240 0.5933 0.7708
7 S 0.5933 0.9240 0.7708
8 S 0.4067 0.0760 0.2292
9 Li 0.0000 0.0000 0.0000
10 Nd 0.5000 0.5000 0.5000
11 Nd 0.1645 0.8355 0.5000
12 Nd 0.8355 0.1645 0.5000

Computed properties:
space group = C2/m (12)
crystal system = monoclinic
D(E_F) = 4.6 states/eV/cell

***

Record 4
Density functional theory data (PBE-GGA) for a geometry-optimized Li3Nd2TmS6 structure.

abc: 6.9320 6.9320 6.6008
angles: 99.87 99.87 120.14
Positions (direct):
1 Li 0.8437 0.1563 0.5000
2 Li 0.1563 0.8437 0.5000
3 Li 0.5000 0.5000 0.5000
4 S 0.0835 0.4040 0.2538
5 S 0.7609 0.7609 0.2517
6 S 0.2391 0.2391 0.7483
7 S 0.4040 0.0835 0.2538
8 S 0.5960 0.9165 0.7462
9 S 0.9165 0.5960 0.7462
10 Tm 0.0000 0.0000 0.0000
11 Nd 0.3325 0.6675 0.0000
12 Nd 0.6675 0.3325 0.0000

Computed properties:
space group = C2/m (12)
crystal system = monoclinic
D(E_F) = 0.0 states/eV/cell

***

Record 5
Density functional theory data (PBE-GGA) for a geometry-optimized LiNdTm4S8 structure.

abc: 7.9234 7.9234 8.0392
angles: 60.48 60.48 60.00
Positions (direct):
1 S 0.7506 0.7506 0.2696
2 S 0.2421 0.2421 0.2738
3 S 0.2292 0.7506 0.2696
4 S 0.2498 0.7681 0.7323
5 S 0.7681 0.2498 0.7323
6 S 0.2498 0.2498 0.7323
7 S 0.7587 0.7587 0.7240
8 S 0.7506 0.2292 0.2696
9 Nd 0.0038 0.0038 0.9886
10 Tm 0.0048 0.0048 0.5047
11 Tm 0.4857 0.0048 0.5047
12 Tm 0.0048 0.4857 0.5047
13 Tm 0.6264 0.6264 0.1207
14 Li 0.3756 0.3756 0.8731

Computed properties:
space group = R3m (160)
crystal system = trigonal
D(E_F) = 0.0 states/eV/cell

***

Record 6
Density functional theory data (PBE-GGA) for a geometry-optimized LiNd2US4 structure.

abc: 3.9590 6.8724 6.8693
angles: 109.33 90.00 90.00
Last column: magnetic moment on the atom in μB.
Positions (direct):
1 Li 0.0000 0.0000 0.0000  0.00
2 S 0.0000 0.2513 0.7665  -0.03
3 S 0.0000 0.7487 0.2335  -0.03
4 S 0.5000 0.7573 0.7675  -0.02
5 S 0.5000 0.2427 0.2325  -0.02
6 Nd 0.0000 0.5000 0.5000  0.06
7 Nd 0.5000 0.0000 0.5000  -0.01
8 U 0.5000 0.5000 0.0000  2.31

Computed properties:
space group = P2/m (10)
crystal system = monoclinic
D(E_F) = 6.5 states/eV/cell

***

Record 7
Density functional theory data (PBE-GGA) for a geometry-optimized Li2NdUS4 structure.

abc: 3.9652 6.8860 6.6360
angles: 110.17 90.00 90.00
Last column: magnetic moment on the atom in μB.
Positions (direct):
1 U 0.5000 0.5000 0.0000  2.50
2 S 0.0000 0.7434 0.2554  -0.04
3 S 0.5000 0.7375 0.7411  -0.02
4 S 0.5000 0.2625 0.2589  -0.02
5 S 0.0000 0.2566 0.7446  -0.04
6 Li 0.5000 0.0000 0.5000  0.00
7 Li 0.0000 0.5000 0.5000  0.00
8 Nd 0.0000 0.0000 0.0000  0.13

Computed properties:
space group = P2/m (10)
crystal system = monoclinic
D(E_F) = 5.8 states/eV/cell

***

Record 8
Density functional theory data (PBE-GGA) for a geometry-optimized Li2Nd2US6 structure.

abc: 7.0692 7.0692 6.5075
angles: 98.83 98.83 120.28
Last column: magnetic moment on the atom in μB.
Positions (direct):
1 S 0.2404 0.2404 0.2540  -0.03
2 S 0.0614 0.3865 0.7425  -0.02
3 S 0.7596 0.7596 0.7460  -0.03
4 S 0.6135 0.9386 0.2575  -0.02
5 S 0.3865 0.0614 0.7425  -0.02
6 S 0.9386 0.6135 0.2575  -0.02
7 Nd 0.3343 0.6657 0.5000  0.03
8 Nd 0.6657 0.3343 0.5000  0.03
9 Li 0.8521 0.1479 0.0000  0.00
10 Li 0.1479 0.8521 0.0000  0.00
11 U 0.0000 0.0000 0.5000  1.96

Computed properties:
space group = C2/m (12)
crystal system = monoclinic
D(E_F) = 5.8 states/eV/cell

***

Record 9
Density functional theory data (PBE-GGA) for a geometry-optimized LiNd3U3S8 structure.

abc: 7.8178 7.8178 7.9864
angles: 119.29 90.00 120.02
Last column: magnetic moment on the atom in μB.
Positions (direct):
1 U 0.0000 0.5000 0.5000  2.33
2 U 0.5000 0.0000 0.5000  2.33
3 U 0.5000 0.5000 0.5000  2.33
4 S 0.2549 0.0105 0.2660  -0.04
5 S 0.7554 0.0104 0.2658  -0.04
6 S 0.7451 0.9895 0.7340  -0.04
7 S 0.2445 0.4889 0.7340  -0.04
8 S 0.2446 0.9896 0.7342  -0.04
9 S 0.7555 0.5111 0.2660  -0.04
10 S 0.7462 0.4924 0.7386  -0.05
11 S 0.2538 0.5076 0.2614  -0.05
12 Nd 0.0000 0.0000 0.0000  0.00
13 Nd 0.5000 0.5000 0.0000  0.00
14 Nd 0.0000 0.5000 0.0000  0.00
15 Li 0.0000 0.0000 0.5000  0.00

Computed properties:
space group = R-3m (166)
crystal system = trigonal
D(E_F) = 17.0 states/eV/cell

***

Record 10
Density functional theory data (PBE-GGA) for a geometry-optimized LiNd2US6 structure.

abc: 6.9588 6.9586 7.2588
angles: 61.36 61.36 60.00
Last column: magnetic moment on the atom in μB.
Positions (direct):
1 S 0.9575 0.5888 0.2626  -0.03
2 S 0.1910 0.9576 0.2626  -0.03
3 S 0.5888 0.1910 0.2626  -0.03
4 S 0.1070 0.4400 0.7615  -0.03
5 S 0.4399 0.6916 0.7615  -0.03
6 S 0.6916 0.1070 0.7615  -0.03
7 Nd 0.5286 0.5286 0.4142  0.00
8 Nd 0.0211 0.0211 0.9368  0.00
9 U 0.3224 0.3224 0.0329  1.19
10 Li 0.8136 0.8135 0.5592  0.00

Computed properties:
space group = R3 (146)
crystal system = trigonal

***

Record 11
Density functional theory data (PBE-GGA) for a geometry-optimized Li3Nd2US6 structure.

abc: 6.9411 6.9411 6.6268
angles: 100.02 100.02 120.02
Last column: magnetic moment on the atom in μB.
Positions (direct):
1 S 0.9139 0.5912 0.7418  -0.02
2 S 0.4088 0.0861 0.2582  -0.02
3 S 0.5912 0.9139 0.7418  -0.02
4 S 0.0861 0.4088 0.2582  -0.02
5 S 0.7614 0.7614 0.2548  -0.02
6 S 0.2386 0.2386 0.7452  -0.02
7 Nd 0.6672 0.3328 0.0000  0.11
8 Nd 0.3328 0.6672 0.0000  0.11
9 Li 0.8384 0.1616 0.5000  0.00
10 Li 0.5000 0.5000 0.5000  0.00
11 Li 0.1616 0.8384 0.5000  0.00
12 U 0.0000 0.0000 0.0000  2.40

Computed properties:
space group = C2/m (12)
crystal system = monoclinic
D(E_F) = 9.5 states/eV/cell

***

Record 12
Density functional theory data (PBE-GGA) for a geometry-optimized LiNd2US5 structure.

abc: 3.9641 8.5061 11.9617
angles: 90.00 90.00 103.47
Last column: magnetic moment on the atom in μB.
Positions (direct):
1 Nd 0.1260 0.2520 0.2990  0.06
2 Nd 0.1089 0.2179 0.6877  0.03
3 Nd 0.8740 0.7480 0.7990  0.06
4 Nd 0.8911 0.7821 0.1877  0.03
5 Li 0.4833 0.9666 0.4748  0.00
6 Li 0.5167 0.0334 0.9748  0.00
7 S 0.6352 0.2703 0.5002  -0.02
8 S 0.0490 0.0980 0.0669  -0.04
9 S 0.6908 0.3816 0.8478  -0.04
10 S 0.9510 0.9020 0.5669  -0.04
11 S 0.3648 0.7297 0.0002  -0.02
12 S 0.4989 0.9978 0.7803  0.00
13 S 0.3092 0.6184 0.3478  -0.04
14 S 0.2879 0.5757 0.6620  -0.04
15 S 0.7121 0.4243 0.1620  -0.04
16 S 0.5011 0.0022 0.2803  0.00
17 U 0.2003 0.4006 0.0054  2.33
18 U 0.7997 0.5994 0.5054  2.33

Computed properties:
space group = Cmc2_1 (36)
crystal system = orthorhombic
D(E_F) = 13.9 states/eV/cell

***

Record 13
Density functional theory data (PBE-GGA) for a geometry-optimized Li4Nd3US8 structure.

abc: 8.0417 7.7607 8.0398
angles: 121.23 120.01 90.00
Last column: magnetic moment on the atom in μB.
Positions (direct):
1 S 0.2467 0.2404 0.4934  0.00
2 S 0.2475 0.7559 0.0087  -0.02
3 S 0.2388 0.2441 0.9913  -0.02
4 S 0.7525 0.2441 0.5050  -0.02
5 S 0.7612 0.7559 0.0087  -0.02
6 S 0.7525 0.2441 0.9913  -0.02
7 S 0.2475 0.7559 0.4950  -0.02
8 S 0.7533 0.7596 0.5066  0.00
9 Nd 0.5000 0.5000 0.0000  0.07
10 Nd 0.5000 0.5000 0.5000  0.07
11 Nd 0.0000 0.5000 0.5000  0.07
12 Li 0.0000 0.0000 0.5000  0.00
13 Li 0.5000 0.0000 0.0000  0.00
14 Li 0.0000 0.0000 0.0000  0.00
15 Li 0.5000 0.0000 0.5000  0.00
16 U 0.0000 0.5000 0.0000  2.42

Computed properties:
space group = R-3m (166)
crystal system = trigonal
D(E_F) = 6.8 states/eV/cell

***

Record 14
Density functional theory data (PBE-GGA) for a geometry-optimized LiNdY2S4 structure.

abc: 3.9332 6.8288 6.8443
angles: 109.29 90.00 90.00
Positions (direct):
1 S 0.5000 0.2615 0.2557
2 S 0.0000 0.2557 0.7473
3 S 0.0000 0.7443 0.2527
4 S 0.5000 0.7385 0.7443
5 Y 0.5000 0.0000 0.5000
6 Y 0.0000 0.5000 0.5000
7 Li 0.5000 0.5000 0.0000
8 Nd 0.0000 0.0000 0.0000

Computed properties:
space group = P2/m (10)
crystal system = monoclinic
D(E_F) = 2.6 states/eV/cell

***

Record 15
Density functional theory data (PBE-GGA) for a geometry-optimized LiNd2YS4 structure.

abc: 3.9807 6.8637 6.8898
angles: 109.43 90.00 90.00
Positions (direct):
1 Nd 0.0000 0.5000 0.5000
2 Nd 0.5000 0.0000 0.5000
3 S 0.5000 0.2489 0.2340
4 S 0.0000 0.2565 0.7651
5 S 0.5000 0.7511 0.7660
6 S 0.0000 0.7435 0.2349
7 Y 0.0000 0.0000 0.0000
8 Li 0.5000 0.5000 0.0000

Computed properties:
space group = P2/m (10)
crystal system = monoclinic
D(E_F) = 2.7 states/eV/cell

***

Record 16
Density functional theory data (PBE-GGA) for a geometry-optimized Li2NdYS4 structure.

abc: 3.9902 6.9114 6.6115
angles: 110.37 90.00 90.00
Positions (direct):
1 S 0.0000 0.2566 0.7477
2 S 0.0000 0.7434 0.2523
3 S 0.5000 0.7407 0.7446
4 S 0.5000 0.2593 0.2554
5 Li 0.5000 0.0000 0.5000
6 Li 0.0000 0.5000 0.5000
7 Nd 0.0000 0.0000 0.0000
8 Y 0.5000 0.5000 0.0000

Computed properties:
space group = P2/m (10)
crystal system = monoclinic
D(E_F) = 0.0 states/eV/cell

***

Record 17
Density functional theory data (PBE-GGA) for a geometry-optimized Li3NdY2S6 structure.

abc: 6.8704 6.8704 6.6011
angles: 99.93 99.93 120.04
Positions (direct):
1 Y 0.3336 0.6664 0.0000
2 Y 0.6664 0.3336 0.0000
3 S 0.9164 0.5746 0.7479
4 S 0.5746 0.9164 0.7479
5 S 0.4254 0.0836 0.2521
6 S 0.2576 0.2576 0.7462
7 S 0.7424 0.7424 0.2538
8 S 0.0836 0.4254 0.2521
9 Li 0.5000 0.5000 0.5000
10 Li 0.8293 0.1707 0.5000
11 Li 0.1707 0.8293 0.5000
12 Nd 0.0000 0.0000 0.0000

Computed properties:
space group = C2/m (12)
crystal system = monoclinic
D(E_F) = 0.0 states/eV/cell

***

Record 18
Density functional theory data (PBE-GGA) for a geometry-optimized LiNdY4S8 structure.

abc: 8.0362 8.0362 8.1183
angles: 60.33 60.33 60.00
Positions (direct):
1 Y 0.6261 0.6261 0.1218
2 Y 0.0046 0.0046 0.5045
3 Y 0.4862 0.0046 0.5045
4 Y 0.0046 0.4862 0.5045
5 S 0.2478 0.7682 0.7362
6 S 0.7682 0.2478 0.7362
7 S 0.7587 0.7587 0.7240
8 S 0.7531 0.2275 0.2664
9 S 0.7531 0.7531 0.2664
10 S 0.2478 0.2478 0.7362
11 S 0.2426 0.2426 0.2723
12 S 0.2275 0.7531 0.2664
13 Nd 0.0039 0.0039 0.9882
14 Li 0.3758 0.3758 0.8724

Computed properties:
space group = R3m (160)
crystal system = trigonal
D(E_F) = 0.0 states/eV/cell

***

Record 19
Density functional theory data (PBE-GGA) for a geometry-optimized LiNd3Y3S8 structure.

abc: 7.9020 7.9021 7.9525
angles: 119.79 90.00 120.00
Positions (direct):
1 Nd 0.5000 0.5000 0.0000
2 Nd 0.0000 0.5000 0.0000
3 Nd 0.0000 0.0000 0.0000
4 Li 0.0000 0.0000 0.5000
5 S 0.7562 0.0081 0.2643
6 S 0.2519 0.0081 0.2643
7 S 0.2539 0.5079 0.2618
8 S 0.7563 0.5125 0.2643
9 S 0.2437 0.4875 0.7357
10 S 0.2438 0.9919 0.7357
11 S 0.7461 0.4921 0.7382
12 S 0.7481 0.9919 0.7357
13 Y 0.5000 0.5000 0.5000
14 Y 0.5000 0.0000 0.5000
15 Y 0.0000 0.5000 0.5000

Computed properties:
space group = R-3m (166)
crystal system = trigonal
D(E_F) = 4.8 states/eV/cell

***

Record 20
Density functional theory data (PBE-GGA) for a geometry-optimized Li2NdZrS4 structure.

abc: 3.8119 6.6886 6.6089
angles: 109.49 90.00 90.00
Positions (direct):
1 Li 0.5000 0.0000 0.5000
2 Li 0.0000 0.5000 0.5000
3 S 0.5000 0.2743 0.2592
4 S 0.5000 0.7257 0.7408
5 S 0.0000 0.2670 0.7499
6 S 0.0000 0.7330 0.2501
7 Zr 0.5000 0.5000 0.0000
8 Nd 0.0000 0.0000 0.0000

Computed properties:
space group = P2/m (10)
crystal system = monoclinic
D(E_F) = 2.9 states/eV/cell

***

Going through the records in order, we get energy relative to the elements, uncorrected values of -45.6; -44.1; -44.9; -41.5; -45.0; -39.4; -35.8; -37.9; -38.1; -37.9; -37.3; -39.2; -38.3; -44.5; -44.3; -41.7; -42.1; -45.1; -45.9; -37.1 kcal/mol of atoms.